No. 1
Here is an optimized crystal structure of TlSnHg3Te4 from OQMD. Energies are from PBE.

The space group is P-43m (No. 215) and the conventional cell measures 7.153, 7.153 and 7.153 Å, with angles of 90.00, 90.00 and 90.00 degrees. The inequivalent atoms are Tl at (0.000, 0.000, 0.000), Sn at (0.500, 0.500, 0.500), Hg at (0.000, 0.500, 0.500) and Te at (0.261, 0.261, 0.261).

=====

No. 2
Here is an optimized crystal structure of ThSnHg from OQMD. Energies are from PBE.

The space group is F-43m (No. 216) and the conventional cell measures 7.120, 7.120 and 7.120 Å, with angles of 90.00, 90.00 and 90.00 degrees. The inequivalent atoms are Th at (0.000, 0.000, 0.000), Sn at (0.000, 0.000, 0.500) and Hg at (0.250, 0.250, 0.750).

=====

Number 1: E -2.25 eV per atom. Number 2: E -4.03 eV per atom.